No. 1
Here is a geometry-optimized Ta5TcMo4 structure from Alexandria. Energies are from PBE-GGA.

DFT formation energy = -6.121 kcal/mol of atoms
Space group = P4/mmm

a b c (Å): 3.2200 3.2200 16.1179
angles (deg): 90.00 90.00 90.00
Fractional positions:
Ta 0.0000 0.0000 0.0000
Ta 0.0000 0.0000 0.2012
Ta 0.0000 0.0000 0.4015
Ta 0.0000 0.0000 0.5985
Ta 0.0000 0.0000 0.7988
Tc 0.5000 0.5000 0.5000
Mo 0.5000 0.5000 0.1004
Mo 0.5000 0.5000 0.3011
Mo 0.5000 0.5000 0.6989
Mo 0.5000 0.5000 0.8996

***

No. 2
Here is a geometry-optimized Ta3Tc2Mo structure from Alexandria. Energies are from PBE-GGA.

DFT formation energy = -9.148 kcal/mol of atoms
Space group = P4/mmm

a b c (Å): 3.1987 3.1987 9.6385
angles (deg): 90.00 90.00 90.00
Fractional positions:
Ta 0.0000 0.0000 0.0000
Ta 0.0000 0.0000 0.3316
Ta 0.0000 0.0000 0.6684
Tc 0.5000 0.5000 0.1645
Tc 0.5000 0.5000 0.8355
Mo 0.5000 0.5000 0.5000

***

No. 3
Here is a geometry-optimized Ta4TcMo2 structure from Alexandria. Energies are from PBE-GGA.

DFT formation energy = 2.014 kcal/mol of atoms
Space group = I4/mmm

a b c (Å): 5.4987 5.4987 5.4987
angles (deg): 109.68 109.68 109.06
Fractional positions:
Ta 0.0000 0.0000 0.5000
Ta 0.0000 0.5000 0.0000
Ta 0.5000 0.0000 0.0000
Ta 0.5000 0.5000 0.5000
Tc 0.0000 0.0000 0.0000
Mo 0.0000 0.5000 0.5000
Mo 0.5000 0.0000 0.5000

***

no.,M_tot (μB/f.u.)
1,0.0
2,0.0
3,0.0